A plane-wave DFT calculation with PBE-GGA was carried out for a geometry-optimized Sc2ZnPt structure.

Properties
Formation energy in eV/atom: -0.681
Density of states at the Fermi level in states/eV/cell: 3.51
Density in Mg/m³: 7.80

a = 5.502 Å, b = 5.502 Å, c = 4.492 Å
α = 111.37°, β = 111.37°, γ = 36.42°
Fractional positions:
1 Sc 0.000 0.000 0.000
2 Sc 0.222 0.222 0.708
3 Zn 0.773 0.773 0.257
4 Pt 0.494 0.494 0.491



A plane-wave DFT calculation with PBE-GGA was carried out for a geometry-optimized SrAcHgPb structure.

Properties
Formation energy in eV/atom: -0.531
Density of states at the Fermi level in states/eV/cell: 3.67
Density in Mg/m³: 8.72

a = 5.795 Å, b = 5.795 Å, c = 5.795 Å
α = 60.00°, β = 60.00°, γ = 60.00°
Fractional positions:
1 Sr 0.000 0.000 0.000
2 Ac 0.500 0.500 0.500
3 Hg 0.750 0.750 0.750
4 Pb 0.250 0.250 0.250



A plane-wave DFT calculation with PBE-GGA was carried out for a geometry-optimized LaCo2P structure.

Properties
Formation energy in eV/atom: -0.524
Density of states at the Fermi level in states/eV/cell: 5.30
Density in Mg/m³: 6.22

a = 8.172 Å, b = 8.172 Å, c = 8.172 Å
α = 147.89°, β = 147.89°, γ = 46.05°
Fractional positions:
1 La 0.375 0.625 0.750
2 La 0.625 0.375 0.250
3 Co 0.000 0.000 0.000
4 Co 0.000 0.000 0.500
5 Co 0.000 0.500 0.000
6 Co 0.500 0.000 0.500
7 P 0.125 0.875 0.250
8 P 0.875 0.125 0.750



A plane-wave DFT calculation with PBE-GGA was carried out for a geometry-optimized RbHfZr2 structure.

Properties
Relative energy among the computed polymorphs in eV/f.u.: 0.00
Formation energy in eV/atom: 1.176
Density of states at the Fermi level in states/eV/cell: 6.01
Density in Mg/m³: 6.88

a = 5.341 Å, b = 5.341 Å, c = 5.341 Å
α = 60.00°, β = 60.00°, γ = 60.00°
Fractional positions:
1 Rb 0.000 0.000 0.000
2 Hf 0.500 0.500 0.500
3 Zr 0.250 0.250 0.250
4 Zr 0.750 0.750 0.750



A plane-wave DFT calculation with PBE-GGA was carried out for a geometry-optimized TiMnInB2 structure.

Properties
Formation energy in eV/atom: 1.300
Density of states at the Fermi level in states/eV/cell: 2.40
Density in Mg/m³: 4.78

a = 4.289 Å, b = 4.289 Å, c = 4.517 Å
α = 90.00°, β = 90.00°, γ = 90.00°
Fractional positions:
1 Ti 0.000 0.000 0.000
2 Mn 0.000 0.000 0.500
3 In 0.500 0.500 0.500
4 B 0.000 0.500 0.000
5 B 0.500 0.000 0.000



A plane-wave DFT calculation with PBE-GGA was carried out for a geometry-optimized LiWAu2 structure.

Properties
Relative energy among the computed polymorphs in eV/f.u.: 0.56
Formation energy in eV/atom: 0.160
Density of states at the Fermi level in states/eV/cell: 2.20
Density in Mg/m³: 14.71

a = 2.724 Å, b = 4.052 Å, c = 5.978 Å
α = 90.00°, β = 90.18°, γ = 90.00°
Fractional positions:
1 Li 0.000 0.000 0.000
2 W 0.000 0.000 0.500
3 Au 0.499 0.500 0.253
4 Au 0.501 0.500 0.747



A plane-wave DFT calculation with PBE-GGA was carried out for a geometry-optimized CsYRh2 structure.

Properties
Relative energy among the computed polymorphs in eV/f.u.: 0.00
Formation energy in eV/atom: 0.413
Density of states at the Fermi level in states/eV/cell: 1.64
Density in Mg/m³: 7.81

a = 5.048 Å, b = 5.048 Å, c = 5.048 Å
α = 60.00°, β = 60.00°, γ = 60.00°
Fractional positions:
1 Cs 0.000 0.000 0.000
2 Y 0.500 0.500 0.500
3 Rh 0.250 0.250 0.250
4 Rh 0.750 0.750 0.750



A plane-wave DFT calculation with PBE-GGA was carried out for a geometry-optimized MgZn3Ga5 structure.

Properties
Formation energy in eV/atom: 0.141
Density of states at the Fermi level in states/eV/cell: 5.19
Density in Mg/m³: 4.94

a = 7.190 Å, b = 7.190 Å, c = 9.160 Å
α = 110.54°, β = 110.54°, γ = 62.45°
Fractional positions:
1 Mg 0.136 0.136 0.314
2 Mg 0.864 0.864 0.686
3 Zn 0.000 0.000 0.000
4 Zn 0.000 0.000 0.500
5 Zn 0.295 0.295 0.848
6 Zn 0.403 0.403 0.325
7 Zn 0.597 0.597 0.675
8 Zn 0.705 0.705 0.152
9 Ga 0.027 0.602 0.400
10 Ga 0.219 0.219 0.058
11 Ga 0.326 0.674 0.000
12 Ga 0.383 0.383 0.630
13 Ga 0.398 0.973 0.600
14 Ga 0.602 0.027 0.400
15 Ga 0.617 0.617 0.370
16 Ga 0.674 0.326 0.000
17 Ga 0.781 0.781 0.942
18 Ga 0.973 0.398 0.600



What did we get for spin magnetization? Answer: 0.0000; 0.0000; 0.3667; 0.7369; 0.5247; 0.0000; 0.0000; 0.0000 μB/atom, in the order shown.
What did we get for calculated total energy? Answer: -5.675; -2.981; -6.661; -5.828; -5.331; -5.195; -5.092; -2.142 eV per atom, in the order shown.